Entry 1:
# BiB3Te, relaxed, DFT PBE
data_BiB3Te
_symmetry_space_group_name_H-M 'P m -3 m'
_symmetry_Int_Tables_number 221
_symmetry_space_group_name_Hall '-P 4 2 3'
_cell_length_a 4.764
_cell_length_b 4.764
_cell_length_c 4.764
_cell_angle_alpha 90.00
_cell_angle_beta 90.00
_cell_angle_gamma 90.00
loop_
_atom_site_label
_atom_site_type_symbol
_atom_site_fract_x
_atom_site_fract_y
_atom_site_fract_z
Bi1 Bi 0.000 0.000 0.000
B1 B 0.000 0.000 0.500
Te1 Te 0.500 0.500 0.500
# E above lowest polymorph   301 meV/atom
# D(E_F)   2.575 states/eV per cell
# V   21.63 Å³ per atom
# E_tot   -0.116 hartree per atom
# Energy relative to the elements, uncorrected   1084 kJ/mol of formula units

---

Entry 2:
# Sm3Ho3Hg2, relaxed, DFT PBE
data_Sm3Ho3Hg2
_symmetry_space_group_name_H-M 'C m c m'
_symmetry_Int_Tables_number 63
_symmetry_space_group_name_Hall '-C 2c 2'
_cell_length_a 5.188
_cell_length_b 11.754
_cell_length_c 15.865
_cell_angle_alpha 90.00
_cell_angle_beta 90.00
_cell_angle_gamma 90.00
loop_
_atom_site_label
_atom_site_type_symbol
_atom_site_fract_x
_atom_site_fract_y
_atom_site_fract_z
Sm1 Sm 0.000 0.040 0.108
Sm2 Sm 0.000 0.283 0.250
Ho1 Ho 0.000 0.358 0.034
Ho2 Ho 0.000 0.430 0.750
Hg1 Hg 0.000 0.231 0.626
# ΔE_f   -175 meV per atom
# D(E_F)   36.664 states/eV per cell
# V   30.24 Å³ per atom
# E_tot   -0.137 hartree per atom

---

Entry 3:
# PrGd2Cu, relaxed, DFT PBE
data_PrGd2Cu
_symmetry_space_group_name_H-M 'R -3 m'
_symmetry_Int_Tables_number 166
_symmetry_space_group_name_Hall '-R 3 2"'
_cell_length_a 3.6911
_cell_length_b 3.6911
_cell_length_c 30.0008
_cell_angle_alpha 90.00
_cell_angle_beta 90.00
_cell_angle_gamma 120.00
loop_
_atom_site_label
_atom_site_type_symbol
_atom_site_fract_x
_atom_site_fract_y
_atom_site_fract_z
Pr1 Pr 0.0000 0.0000 0.0000
Gd1 Gd 0.0000 0.0000 0.2326
Cu1 Cu 0.0000 0.0000 0.5000
# ΔE_f   28 meV per atom
# E above lowest polymorph   115 meV/atom
# D(E_F)   14.036 states/eV per cell
# V   29.50 Å³ per atom
# E_tot   -0.339 hartree per atom

---

Entry 4:
# TbNd5Sc2, relaxed, DFT PBE
data_TbNd5Sc2
_symmetry_space_group_name_H-M 'P b a m'
_symmetry_Int_Tables_number 55
_cell_length_a 7.108
_cell_length_b 14.220
_cell_length_c 5.036
_cell_angle_alpha 90.00
_cell_angle_beta 90.00
_cell_angle_gamma 90.00
loop_
_symmetry_equiv_pos_as_xyz
'x,y,z'
'-x,-y,-z'
'-x,-y,z'
'x,y,-z'
'x+1/2,-y+1/2,-z'
'-x+1/2,y+1/2,z'
'-x+1/2,y+1/2,-z'
'x+1/2,-y+1/2,z'
loop_
_atom_site_label
_atom_site_type_symbol
_atom_site_fract_x
_atom_site_fract_y
_atom_site_fract_z
Tb1 Tb 0.000 0.000 0.000
Nd1 Nd 0.000 0.500 0.000
Nd2 Nd 0.003 0.249 0.000
Nd3 Nd 0.247 0.876 0.500
Sc1 Sc 0.249 0.624 0.500
# ΔE_f   37 meV per atom
# E above lowest polymorph   0 meV/atom
# D(E_F)   20.918 states/eV per cell
# V   31.81 Å³ per atom
# E_tot   -0.188 hartree per atom

---

Entry 5:
# TiBi3Se, relaxed, DFT PBE
data_TiBi3Se
_symmetry_space_group_name_H-M 'P m -3 m'
_symmetry_Int_Tables_number 221
_symmetry_space_group_name_Hall '-P 4 2 3'
_cell_length_a 5.361
_cell_length_b 5.361
_cell_length_c 5.361
_cell_angle_alpha 90.00
_cell_angle_beta 90.00
_cell_angle_gamma 90.00
loop_
_atom_site_label
_atom_site_type_symbol
_atom_site_fract_x
_atom_site_fract_y
_atom_site_fract_z
Ti1 Ti 0.000 0.000 0.000
Bi1 Bi 0.000 0.000 0.500
Se1 Se 0.500 0.500 0.500
# D(E_F)   4.933 states/eV per cell
# V   30.81 Å³ per atom
# E_tot   -0.160 hartree per atom
# Energy relative to the elements, uncorrected   126 kJ/mol of formula units

---

Entry 6:
# BaMgGa, relaxed, DFT PBE
data_BaMgGa
_symmetry_space_group_name_H-M 'F -4 3 m'
_symmetry_Int_Tables_number 216
_symmetry_space_group_name_Hall 'F -4 2 3'
_cell_length_a 7.475
_cell_length_b 7.475
_cell_length_c 7.475
_cell_angle_alpha 90.00
_cell_angle_beta 90.00
_cell_angle_gamma 90.00
loop_
_atom_site_label
_atom_site_type_symbol
_atom_site_fract_x
_atom_site_fract_y
_atom_site_fract_z
Ba1 Ba 0.000 0.000 0.000
Mg1 Mg 0.000 0.000 0.500
Ga1 Ga 0.250 0.250 0.250
# ΔE_f   -100 meV per atom
# D(E_F)   14.322 states/eV per cell
# V   34.81 Å³ per atom
# E_tot   -0.084 hartree per atom

---

Entry 7:
# TmCu6Ge2, relaxed, DFT PBE
data_TmCu6Ge2
_symmetry_space_group_name_H-M 'P 4/m m m'
_symmetry_Int_Tables_number 123
_symmetry_space_group_name_Hall '-P 4 2'
_cell_length_a 4.045
_cell_length_b 4.045
_cell_length_c 8.100
_cell_angle_alpha 90.00
_cell_angle_beta 90.00
_cell_angle_gamma 90.00
loop_
_atom_site_label
_atom_site_type_symbol
_atom_site_fract_x
_atom_site_fract_y
_atom_site_fract_z
Tm1 Tm 0.000 0.000 0.000
Cu1 Cu 0.000 0.000 0.500
Cu2 Cu 0.000 0.500 0.314
Cu3 Cu 0.500 0.500 0.500
Ge1 Ge 0.500 0.500 0.152
# ΔE_f   -207 meV per atom
# D(E_F)   4.357 states/eV per cell
# V   14.72 Å³ per atom
# E_tot   -0.164 hartree per atom

---

Entry 8:
# AcEuGeCl, relaxed, DFT PBE
data_AcEuGeCl
_symmetry_space_group_name_H-M 'F -4 3 m'
_symmetry_Int_Tables_number 216
_symmetry_space_group_name_Hall 'F -4 2 3'
_cell_length_a 7.645
_cell_length_b 7.645
_cell_length_c 7.645
_cell_angle_alpha 90.00
_cell_angle_beta 90.00
_cell_angle_gamma 90.00
loop_
_atom_site_label
_atom_site_type_symbol
_atom_site_fract_x
_atom_site_fract_y
_atom_site_fract_z
Ac1 Ac 0.000 0.000 0.000
Eu1 Eu 0.000 0.000 0.500
Ge1 Ge 0.250 0.250 0.750
Cl1 Cl 0.250 0.250 0.250
# D(E_F)   48.572 states/eV per cell
# V   27.92 Å³ per atom
# E_tot   -0.232 hartree per atom
# Energy relative to the elements, uncorrected   -427 kJ/mol of formula units